No. 1
RbHf2O PBE-GGA optimized geometry; ΔE to the lowest computed polymorph = 7.491 eV/f.u.; D(E_F) = 1.4366 states/eV per atom; space-group type = Fm-3m, No. 225; energy = -81.06 eV per cell; ΔE_f (raw) = 1.392 eV per atom
1.0
6.8503 0.0000 0.0000
0.0000 6.8503 0.0000
0.0000 0.0000 6.8503
Rb Hf O
4 8 4
Cartesian
0.0000 0.0000 0.0000
0.0000 3.4252 3.4252
3.4252 0.0000 3.4252
3.4252 3.4252 0.0000
1.7126 1.7126 1.7126
1.7126 1.7126 5.1377
1.7126 5.1377 1.7126
1.7126 5.1377 5.1377
5.1377 1.7126 1.7126
5.1377 1.7126 5.1377
5.1377 5.1377 1.7126
5.1377 5.1377 5.1377
0.0000 0.0000 3.4252
0.0000 3.4252 0.0000
3.4252 0.0000 0.0000
3.4252 3.4252 3.4252

---

No. 2
RbHfO3 PBE-GGA optimized geometry; D(E_F) = 0.9960 states/eV per atom; space-group type = Fd-3m, No. 227; energy = -151.44 eV per cell; ΔE_f (raw) = -2.413 eV per atom
1.0
0.0000 5.5741 5.5741
5.5741 0.0000 5.5741
5.5741 5.5741 0.0000
Rb Hf O
4 4 12
Cartesian
0.0000 0.0000 0.0000
2.7870 2.7870 0.0000
2.7870 0.0000 2.7870
0.0000 2.7870 2.7870
5.5741 2.7870 2.7870
2.7870 5.5741 2.7870
2.7870 2.7870 5.5741
5.5741 5.5741 5.5741
4.1806 4.1806 2.0818
4.1806 2.0818 4.1806
6.2794 4.1806 4.1806
6.9676 6.9676 4.8688
6.9676 4.8688 6.9676
9.0664 6.9676 6.9676
2.0818 4.1806 4.1806
4.1806 6.2794 4.1806
4.1806 4.1806 6.2794
4.8688 6.9676 6.9676
6.9676 9.0664 6.9676
6.9676 6.9676 9.0664